Material: H2Pd9Au3
Method: DFT, GGA-PBE
State: relaxed Values from VASP.

Cell and atoms, written as Quantum ESPRESSO input:
```
&SYSTEM
  ibrav = 0, nat = 28, ntyp = 3
/
ATOMIC_SPECIES
Pd 106.42 Pd.upf
H 1.01 H.upf
Au 196.97 Au.upf
ATOMIC_POSITIONS angstrom
Pd 2.848 3.299 5.860
Pd 1.417 2.470 3.507
Pd 4.281 0.817 1.154
Pd 0.000 1.633 12.875
Pd 0.000 4.925 3.507
Pd 1.414 0.817 5.860
Pd 1.433 4.116 12.875
Pd 2.848 3.299 1.154
Pd 1.431 2.462 10.522
Pd -1.433 4.116 12.875
Pd 1.433 4.116 8.168
Pd 0.000 1.633 8.168
Pd 1.414 0.817 1.154
Pd 4.265 2.462 10.522
Pd 4.281 0.817 5.860
Pd -1.433 4.116 8.168
Pd 2.848 0.008 10.522
Pd -1.417 2.470 3.507
H 0.000 3.288 9.214
H 0.000 3.288 11.830
H 2.848 1.644 4.815
H 2.848 1.644 2.199
Au 2.848 1.644 8.185
Au 0.000 3.288 1.171
Au 2.848 1.644 12.858
Au 0.000 0.000 10.522
Au 0.000 3.288 5.844
Au 0.000 0.000 3.507
CELL_PARAMETERS angstrom
5.695 0.000 0.000
-2.848 4.932 0.000
0.000 0.000 14.029
```

## Properties
The total energy is -4.577 eV per atom.